This record from Alexandria describes crystalline PuZnSe at its relaxed geometry. The functional is PBE.

Calculated values
* calculated total energy: -7.164 eV/atom
* E_form (uncorrected): -0.80 eV per atom
* total magnetic moment: 5.9 μB per formula unit

The structure in POSCAR format:
```
PuZnSe
1.0
4.066 0.000 0.000
0.000 4.066 0.000
0.000 0.000 8.687
Pu Zn Se
2 2 2
direct
0.250 0.250 0.183
0.750 0.750 0.817
0.250 0.250 0.531
0.750 0.750 0.469
0.250 0.250 0.842
0.750 0.750 0.158
```

=====

This record from Alexandria describes crystalline Nd2Zn2GaPt5 at its relaxed geometry. The functional is PBE.

Calculated values
* calculated total energy: -5.302 eV/atom
* total magnetic moment: 0.0 μB per formula unit
* formation enthalpy at 0 K: -771 meV per atom

The structure in POSCAR format:
```
Nd2Zn2GaPt5
1.0
9.832 0.000 0.000
0.000 9.832 0.000
0.000 0.000 3.773
Nd Zn Ga Pt
4 4 2 10
direct
0.177 0.323 0.000
0.323 0.823 0.000
0.677 0.177 0.000
0.823 0.677 0.000
0.122 0.622 0.000
0.378 0.122 0.000
0.622 0.878 0.000
0.878 0.378 0.000
0.000 0.000 0.000
0.500 0.500 0.000
0.000 0.500 0.500
0.060 0.797 0.500
0.203 0.060 0.500
0.297 0.560 0.500
0.440 0.297 0.500
0.500 0.000 0.500
0.560 0.703 0.500
0.703 0.440 0.500
0.797 0.940 0.500
0.940 0.203 0.500
```

=====

This record from Alexandria describes crystalline K2CaHfPd at its relaxed geometry. The functional is PBE.

Calculated values
* calculated total energy: -2.968 eV/atom
* total magnetic moment: 2.9 μB per formula unit
* formation enthalpy at 0 K: 901 meV per atom

The structure in POSCAR format:
```
K2CaHfPd
1.0
5.981 0.000 0.000
0.000 5.981 0.000
0.000 0.000 5.589
K Ca Hf Pd
2 1 1 1
direct
0.000 0.500 0.000
0.500 0.000 0.000
0.000 0.000 0.500
0.500 0.500 0.500
0.000 0.000 0.000
```

=====

This record from Alexandria describes crystalline CsCd4Pb4 at its relaxed geometry. The functional is PBE.

Calculated values
* calculated total energy: -2.134 eV/atom
* total magnetic moment: 0.0 μB per formula unit
* formation enthalpy at 0 K: 16 meV per atom

The structure in POSCAR format:
```
CsCd4Pb4
1.0
10.099 0.000 0.000
0.000 10.099 0.000
0.000 0.000 6.222
Cs Cd Pb
2 8 8
direct
0.250 0.250 0.250
0.750 0.750 0.750
0.064 0.901 0.134
0.099 0.564 0.634
0.401 0.936 0.634
0.436 0.599 0.134
0.564 0.401 0.866
0.599 0.064 0.366
0.901 0.436 0.366
0.936 0.099 0.866
0.109 0.882 0.624
0.118 0.609 0.124
0.382 0.891 0.124
0.391 0.618 0.624
0.609 0.382 0.376
0.618 0.109 0.876
0.882 0.391 0.876
0.891 0.118 0.376
```

=====

This record from Alexandria describes crystalline PmGe2Pt5 at its relaxed geometry. The functional is PBE.

Calculated values
* calculated total energy: -6.233 eV/atom
* total magnetic moment: 0.0 μB per formula unit
* formation enthalpy at 0 K: -710 meV per atom

The structure in POSCAR format:
```
PmGe2Pt5
1.0
-1.986 3.623 4.955
1.986 -3.623 4.955
1.986 3.623 -4.955
Pm Ge Pt
1 2 5
direct
0.000 0.000 0.000
0.249 0.749 0.500
0.751 0.251 0.500
0.158 0.357 0.802
0.445 0.643 0.802
0.500 0.000 0.500
0.555 0.357 0.198
0.842 0.643 0.198
```

=====

This record from Alexandria describes crystalline Pr2ThZrP4 at its relaxed geometry. The functional is PBE.

Calculated values
* calculated total energy: -7.352 eV/atom
* total magnetic moment: 0.0 μB per formula unit
* formation enthalpy at 0 K: -1456 meV per atom

The structure in POSCAR format:
```
Pr2ThZrP4
1.0
7.030 0.000 0.000
0.000 4.068 0.000
-2.339 0.000 6.682
Pr Th Zr P
2 1 1 4
direct
0.000 0.000 0.000
0.500 0.500 0.000
0.000 0.500 0.500
0.500 0.000 0.500
0.258 0.000 0.736
0.268 0.500 0.271
0.732 0.500 0.729
0.742 0.000 0.264
```

=====

This record from Alexandria describes crystalline AcTb9Dy2 at its relaxed geometry. The functional is PBE.

Calculated values
* calculated total energy: -4.549 eV/atom
* total magnetic moment: 0.0 μB per formula unit
* formation enthalpy at 0 K: 33 meV per atom

The structure in POSCAR format:
```
AcTb9Dy2
1.0
5.077 0.000 0.000
0.000 5.077 0.000
0.000 0.000 15.252
Ac Tb Dy
1 9 2
direct
0.000 0.000 0.000
0.000 0.500 0.174
0.000 0.500 0.500
0.000 0.500 0.826
0.500 0.000 0.174
0.500 0.000 0.500
0.500 0.000 0.826
0.500 0.500 0.000
0.500 0.500 0.337
0.500 0.500 0.663
0.000 0.000 0.336
0.000 0.000 0.664
```

=====

This record from Alexandria describes crystalline HgC3 at its relaxed geometry. The functional is PBE.

Calculated values
* calculated total energy: -5.469 eV/atom
* total magnetic moment: 0.0 μB per formula unit
* formation enthalpy at 0 K: 1524 meV per atom

The structure in POSCAR format:
```
HgC3
1.0
3.328 0.000 0.000
1.597 4.705 0.000
1.647 0.566 5.037
Hg C
1 3
direct
0.000 0.000 0.000
0.000 0.500 0.500
0.002 0.696 0.302
0.998 0.304 0.698
```

=====

This record from Alexandria describes crystalline CoW2Au at its relaxed geometry. The functional is PBE.

Calculated values
* calculated total energy: -8.364 eV/atom
* total magnetic moment: 1.9 μB per formula unit
* formation enthalpy at 0 K: 709 meV per atom

The structure in POSCAR format:
```
CoW2Au
1.0
0.000 3.138 3.138
3.138 0.000 3.138
3.138 3.138 0.000
Co W Au
1 2 1
direct
0.000 0.000 0.000
0.250 0.250 0.250
0.750 0.750 0.750
0.500 0.500 0.500
```

=====

This record from Alexandria describes crystalline TbTlPb at its relaxed geometry. The functional is PBE.

Calculated values
* calculated total energy: -3.732 eV/atom
* total magnetic moment: 0.0 μB per formula unit
* formation enthalpy at 0 K: -163 meV per atom

The structure in POSCAR format:
```
TbTlPb
1.0
-1.931 1.931 5.787
1.931 -1.931 5.787
1.931 1.931 -5.787
Tb Tl Pb
1 1 1
direct
0.000 0.000 0.000
0.666 0.666 0.000
0.323 0.323 0.000
```

=====

This record from Alexandria describes crystalline Li3AcAl9 at its relaxed geometry. The functional is PBE.

Calculated values
* calculated total energy: -3.524 eV/atom
* total magnetic moment: 0.0 μB per formula unit
* formation enthalpy at 0 K: -175 meV per atom

The structure in POSCAR format:
```
Li3AcAl9
1.0
2.612 -6.797 0.000
2.612 6.797 0.000
-2.577 0.000 6.648
Li Ac Al
3 1 9
direct
0.000 0.000 0.000
0.000 0.500 0.500
0.500 0.000 0.500
0.500 0.500 0.500
0.006 0.771 0.269
0.145 0.500 0.145
0.229 0.994 0.731
0.500 0.145 0.145
0.500 0.500 0.000
0.500 0.855 0.855
0.771 0.006 0.269
0.855 0.500 0.855
0.994 0.229 0.731
```

=====

This record from Alexandria describes crystalline LiFeBi at its relaxed geometry. The functional is PBE.

Calculated values
* calculated total energy: -4.788 eV/atom
* total magnetic moment: 2.5 μB per formula unit
* formation enthalpy at 0 K: -35 meV per atom

The structure in POSCAR format:
```
LiFeBi
1.0
4.010 0.000 0.000
0.000 4.010 0.000
0.000 0.000 6.926
Li Fe Bi
2 2 2
direct
0.250 0.250 0.208
0.750 0.750 0.792
0.250 0.750 0.500
0.750 0.250 0.500
0.250 0.250 0.778
0.750 0.750 0.222
```

=====

Which formula does entry 11 have? Li3AcAl9

=====

Please write out number 4 again, unchanged.
This record from Alexandria describes crystalline CsCd4Pb4 at its relaxed geometry. The functional is PBE.

Calculated values
* calculated total energy: -2.134 eV/atom
* total magnetic moment: 0.0 μB per formula unit
* formation enthalpy at 0 K: 16 meV per atom

The structure in POSCAR format:
```
CsCd4Pb4
1.0
10.099 0.000 0.000
0.000 10.099 0.000
0.000 0.000 6.222
Cs Cd Pb
2 8 8
direct
0.250 0.250 0.250
0.750 0.750 0.750
0.064 0.901 0.134
0.099 0.564 0.634
0.401 0.936 0.634
0.436 0.599 0.134
0.564 0.401 0.866
0.599 0.064 0.366
0.901 0.436 0.366
0.936 0.099 0.866
0.109 0.882 0.624
0.118 0.609 0.124
0.382 0.891 0.124
0.391 0.618 0.624
0.609 0.382 0.376
0.618 0.109 0.876
0.882 0.391 0.876
0.891 0.118 0.376
```

=====

The highest calculated total energy belongs to which entry? CsCd4Pb4

=====

What is the total magnetic moment in the ninth record? 1.9 μB per formula unit